Entry 1:
{"formula": "KV2Bi", "functional": "PBE", "state": "relaxed", "dft_energy_ev_per_atom": -4.8257, "formation_energy_kj_per_mol_fu": 378, "dos_at_fermi_per_ev_atom": 1.2058, "lattice": [[-2.344, 2.344, 10.092], [2.344, -2.344, 10.092], [2.344, 2.344, -10.092]], "species": ["K", "K", "V", "V", "V", "V", "Bi", "Bi"], "frac_coords": [[0.000, 0.000, 0.000], [0.750, 0.250, 0.500], [0.370, 0.125, 0.745], [0.375, 0.630, 0.755], [0.380, 0.625, 0.255], [0.875, 0.620, 0.245], [0.250, 0.750, 0.500], [0.500, 0.500, 0.000]]}

***

Entry 2:
{"formula": "Pm2Er5Tm2", "functional": "PBE", "state": "relaxed", "dft_energy_ev_per_atom": -4.5626, "formation_energy_kj_per_mol_fu": 19, "dos_at_fermi_per_ev_atom": 1.2972, "lattice": [[3.532, 0.000, 0.000], [1.716, 9.179, 0.000], [1.737, 3.059, 8.656]], "species": ["Pm", "Pm", "Er", "Er", "Er", "Er", "Er", "Tm", "Tm"], "frac_coords": [[0.054, 0.167, 0.223], [0.946, 0.833, 0.777], [0.278, 0.832, 0.112], [0.387, 0.171, 0.557], [0.500, 0.500, 0.000], [0.613, 0.829, 0.443], [0.722, 0.168, 0.888], [0.167, 0.500, 0.665], [0.833, 0.500, 0.335]]}

***

Entry 3:
{"formula": "Zn3GaO4", "functional": "PBE", "state": "relaxed", "dft_energy_ev_per_atom": -4.7417, "e_form_raw_ev_per_atom": -1.407, "dos_at_fermi_per_ev_atom": 0.1610, "lattice": [[-2.342, 2.342, 4.636], [2.342, -2.342, 4.636], [2.342, 2.342, -4.636]], "species": ["Zn", "Zn", "Zn", "Ga", "O", "O", "O", "O"], "frac_coords": [[0.000, 0.000, 0.000], [0.250, 0.750, 0.500], [0.750, 0.250, 0.500], [0.500, 0.500, 0.000], [0.142, 0.142, 0.524], [0.382, 0.858, 0.000], [0.618, 0.618, 0.476], [0.858, 0.382, 0.000]]}

***

Entry 4:
{"formula": "ScNb2W", "functional": "PBE", "state": "relaxed", "dft_energy_ev_per_atom": -9.7354, "formation_energy_kj_per_mol_fu": 47, "dos_at_fermi_per_ev_atom": 1.5961, "lattice": [[3.267, 0.000, 0.000], [0.000, 3.267, 0.000], [0.000, 0.000, 7.052]], "species": ["Sc", "Nb", "Nb", "W"], "frac_coords": [[0.000, 0.000, 0.000], [0.500, 0.500, 0.281], [0.500, 0.500, 0.719], [0.000, 0.000, 0.500]]}